No. 1
Density functional theory data (GGA-PBE) for crystalline MgBePd4 at its relaxed geometry.

Results
N(E_F), states/eV per cell: 1.62
ΔE_f, eV/atom: -0.37
E, eV per atom: -4.717
Total magnetization, μB/f.u.: 0.0

```
data_MgBePd4
_chemical_formula_sum 'Mg1 Be1 Pd4'
_space_group_name_H-M_alt 'P 1'
_space_group_IT_number 1
_space_group_name_Hall 'P 1'
_cell_length_a 2.8545
_cell_length_b 4.6554
_cell_length_c 7.4503
_cell_angle_alpha 75.35
_cell_angle_beta 78.96
_cell_angle_gamma 72.15
loop_
_atom_site_label
_atom_site_fract_x
_atom_site_fract_y
_atom_site_fract_z
Pd1 0.8365 0.9991 0.3279
Pd2 0.1635 0.0009 0.6721
Pd3 0.6266 0.6208 0.1260
Pd4 0.3734 0.3792 0.8740
Mg1 0.5000 0.5000 0.5000
Be1 0.0000 0.0000 0.0000
```

No. 2
Density functional theory data (GGA-PBE) for crystalline Mg5Be2Pd12 at its relaxed geometry.

Results
N(E_F), states/eV per cell: 7.21
ΔE_f, eV/atom: -0.47
E, eV per atom: -4.563
Total magnetization, μB/f.u.: 0.0

```
data_Mg5Be2Pd12
_chemical_formula_sum 'Mg5 Be2 Pd12'
_space_group_name_H-M_alt 'P 1'
_space_group_IT_number 1
_space_group_name_Hall 'P 1'
_cell_length_a 5.8035
_cell_length_b 7.7032
_cell_length_c 7.1517
_cell_angle_alpha 80.52
_cell_angle_beta 90.00
_cell_angle_gamma 112.13
loop_
_atom_site_label
_atom_site_fract_x
_atom_site_fract_y
_atom_site_fract_z
Be1 0.3142 0.0000 0.0000
Be2 0.6858 0.0000 0.0000
Pd1 0.3825 0.2918 0.0898
Pd2 0.0476 0.0951 0.8190
Pd3 0.9009 0.3048 0.4848
Pd4 0.0991 0.6952 0.5152
Pd5 0.9524 0.9049 0.1810
Pd6 0.4040 0.3048 0.4848
Pd7 0.4988 0.9976 0.2951
Pd8 0.5960 0.6952 0.5152
Pd9 0.5012 0.0024 0.7049
Pd10 0.0908 0.7082 0.9102
Pd11 0.6175 0.7082 0.9102
Pd12 0.9092 0.2918 0.0898
Mg1 0.6983 0.3967 0.7757
Mg2 0.0000 0.0000 0.5000
Mg3 0.7695 0.5389 0.2353
Mg4 0.3017 0.6033 0.2243
Mg5 0.2305 0.4611 0.7647
```

No. 3
Density functional theory data (GGA-PBE) for crystalline Mg3BePd4 at its relaxed geometry.

Results
N(E_F), states/eV per cell: 2.13
ΔE_f, eV/atom: -0.67
E, eV per atom: -4.331
Total magnetization, μB/f.u.: 0.0

```
data_Mg3BePd4
_chemical_formula_sum 'Mg3 Be1 Pd4'
_space_group_name_H-M_alt 'P 1'
_space_group_IT_number 1
_space_group_name_Hall 'P 1'
_cell_length_a 2.9575
_cell_length_b 2.9575
_cell_length_c 13.5872
_cell_angle_alpha 90.00
_cell_angle_beta 90.00
_cell_angle_gamma 90.00
loop_
_atom_site_label
_atom_site_fract_x
_atom_site_fract_y
_atom_site_fract_z
Pd1 0.0000 0.0000 0.6334
Pd2 0.0000 0.0000 0.3666
Pd3 0.0000 0.0000 0.8988
Pd4 0.0000 0.0000 0.1012
Be1 0.5000 0.5000 0.0000
Mg1 0.5000 0.5000 0.2348
Mg2 0.5000 0.5000 0.5000
Mg3 0.5000 0.5000 0.7652
```

No. 4
Density functional theory data (GGA-PBE) for crystalline MgBe3Pd at its relaxed geometry.

Results
N(E_F), states/eV per cell: 2.22
ΔE_f, eV/atom: 1.43
E, eV per atom: -2.168
Total magnetization, μB/f.u.: 0.0

```
data_MgBe3Pd
_chemical_formula_sum 'Mg1 Be3 Pd1'
_space_group_name_H-M_alt 'P 1'
_space_group_IT_number 1
_space_group_name_Hall 'P 1'
_cell_length_a 4.2612
_cell_length_b 4.2612
_cell_length_c 4.2612
_cell_angle_alpha 90.00
_cell_angle_beta 90.00
_cell_angle_gamma 90.00
loop_
_atom_site_label
_atom_site_fract_x
_atom_site_fract_y
_atom_site_fract_z
Be1 0.5000 0.0000 0.0000
Be2 0.0000 0.5000 0.0000
Be3 0.0000 0.0000 0.5000
Mg1 0.0000 0.0000 0.0000
Pd1 0.5000 0.5000 0.5000
```

No. 5
Density functional theory data (GGA-PBE) for crystalline MgBe2Pd2 at its relaxed geometry.

Results
N(E_F), states/eV per cell: 2.96
ΔE_f, eV/atom: -0.44
E, eV per atom: -4.322
Total magnetization, μB/f.u.: 0.0

```
data_MgBe2Pd2
_chemical_formula_sum 'Mg2 Be4 Pd4'
_space_group_name_H-M_alt 'P 1'
_space_group_IT_number 1
_space_group_name_Hall 'P 1'
_cell_length_a 6.8876
_cell_length_b 6.8876
_cell_length_c 2.7668
_cell_angle_alpha 90.00
_cell_angle_beta 90.00
_cell_angle_gamma 90.00
loop_
_atom_site_label
_atom_site_fract_x
_atom_site_fract_y
_atom_site_fract_z
Mg1 0.5000 0.5000 0.0000
Mg2 0.0000 0.0000 0.0000
Pd1 0.8485 0.6515 0.0000
Pd2 0.1515 0.3485 0.0000
Pd3 0.6515 0.1515 0.0000
Pd4 0.3485 0.8485 0.0000
Be1 0.1397 0.6397 0.5000
Be2 0.3603 0.1397 0.5000
Be3 0.6397 0.8603 0.5000
Be4 0.8603 0.3603 0.5000
```

No. 6
Density functional theory data (GGA-PBE) for crystalline MgBePd3 at its relaxed geometry.

Results
N(E_F), states/eV per cell: 0.68
ΔE_f, eV/atom: 0.74
E, eV per atom: -3.438
Total magnetization, μB/f.u.: 0.0

```
data_MgBePd3
_chemical_formula_sum 'Mg1 Be1 Pd3'
_space_group_name_H-M_alt 'P 1'
_space_group_IT_number 1
_space_group_name_Hall 'P 1'
_cell_length_a 4.5543
_cell_length_b 4.5543
_cell_length_c 4.5543
_cell_angle_alpha 90.00
_cell_angle_beta 90.00
_cell_angle_gamma 90.00
loop_
_atom_site_label
_atom_site_fract_x
_atom_site_fract_y
_atom_site_fract_z
Pd1 0.5000 0.0000 0.0000
Pd2 0.0000 0.0000 0.5000
Pd3 0.0000 0.5000 0.0000
Be1 0.5000 0.5000 0.5000
Mg1 0.0000 0.0000 0.0000
```

No. 7
Density functional theory data (GGA-PBE) for crystalline Mg3BePd at its relaxed geometry.

Results
N(E_F), states/eV per cell: 3.14
ΔE_f, eV/atom: 0.31
E, eV per atom: -2.433
Total magnetization, μB/f.u.: 0.0

```
data_Mg3BePd
_chemical_formula_sum 'Mg3 Be1 Pd1'
_space_group_name_H-M_alt 'P 1'
_space_group_IT_number 1
_space_group_name_Hall 'P 1'
_cell_length_a 4.6184
_cell_length_b 4.6184
_cell_length_c 4.6184
_cell_angle_alpha 90.00
_cell_angle_beta 90.00
_cell_angle_gamma 90.00
loop_
_atom_site_label
_atom_site_fract_x
_atom_site_fract_y
_atom_site_fract_z
Mg1 0.0000 0.5000 0.0000
Mg2 0.0000 0.0000 0.5000
Mg3 0.5000 0.0000 0.0000
Pd1 0.5000 0.5000 0.5000
Be1 0.0000 0.0000 0.0000
```

No. 8
Density functional theory data (GGA-PBE) for crystalline MgBe2Pd at its relaxed geometry.

Results
N(E_F), states/eV per cell: 3.66
ΔE_f, eV/atom: 0.14
E, eV per atom: -3.416
Total magnetization, μB/f.u.: 0.0

```
data_MgBe2Pd
_chemical_formula_sum 'Mg2 Be4 Pd2'
_space_group_name_H-M_alt 'P 1'
_space_group_IT_number 1
_space_group_name_Hall 'P 1'
_cell_length_a 4.0549
_cell_length_b 4.0549
_cell_length_c 8.4741
_cell_angle_alpha 76.16
_cell_angle_beta 76.16
_cell_angle_gamma 90.00
loop_
_atom_site_label
_atom_site_fract_x
_atom_site_fract_y
_atom_site_fract_z
Be1 0.8740 0.6250 0.2500
Be2 0.8750 0.1260 0.7500
Be3 0.8760 0.1250 0.2500
Be4 0.3750 0.1240 0.7500
Mg1 0.5000 0.5000 0.0000
Mg2 0.2500 0.7500 0.5000
Pd1 0.7500 0.2500 0.5000
Pd2 0.0000 0.0000 0.0000
```

No. 9
Density functional theory data (GGA-PBE) for crystalline MgBe4Pd5 at its relaxed geometry.

Results
N(E_F), states/eV per cell: 2.77
ΔE_f, eV/atom: -0.61
E, eV per atom: -4.860
Total magnetization, μB/f.u.: 0.0

```
data_MgBe4Pd5
_chemical_formula_sum 'Mg1 Be4 Pd5'
_space_group_name_H-M_alt 'P 1'
_space_group_IT_number 1
_space_group_name_Hall 'P 1'
_cell_length_a 2.8289
_cell_length_b 2.8289
_cell_length_c 15.3240
_cell_angle_alpha 90.00
_cell_angle_beta 90.00
_cell_angle_gamma 90.00
loop_
_atom_site_label
_atom_site_fract_x
_atom_site_fract_y
_atom_site_fract_z
Pd1 0.5000 0.5000 0.3152
Pd2 0.5000 0.5000 0.5000
Pd3 0.5000 0.5000 0.8708
Pd4 0.5000 0.5000 0.6848
Pd5 0.5000 0.5000 0.1292
Be1 0.0000 0.0000 0.2174
Be2 0.0000 0.0000 0.7826
Be3 0.0000 0.0000 0.5929
Be4 0.0000 0.0000 0.4071
Mg1 0.0000 0.0000 0.0000
```

No. 10
Density functional theory data (GGA-PBE) for crystalline Pr2MgBe2Pd5 at its relaxed geometry.

Results
N(E_F), states/eV per cell: 9.44
ΔE_f, eV/atom: -0.65
E, eV per atom: -5.111
Total magnetization, μB/f.u.: 0.0

```
data_Pr2MgBe2Pd5
_chemical_formula_sum 'Pr4 Mg2 Be4 Pd10'
_space_group_name_H-M_alt 'P 1'
_space_group_IT_number 1
_space_group_name_Hall 'P 1'
_cell_length_a 3.5050
_cell_length_b 9.9673
_cell_length_c 9.9673
_cell_angle_alpha 90.00
_cell_angle_beta 90.00
_cell_angle_gamma 90.00
loop_
_atom_site_label
_atom_site_fract_x
_atom_site_fract_y
_atom_site_fract_z
Pr1 0.0000 0.3204 0.8204
Pr2 0.0000 0.6796 0.1796
Pr3 0.0000 0.8204 0.6796
Pr4 0.0000 0.1796 0.3204
Pd1 0.5000 0.2223 0.0670
Pd2 0.5000 0.0670 0.7777
Pd3 0.5000 0.2777 0.5670
Pd4 0.5000 0.5670 0.7223
Pd5 0.5000 0.5000 0.0000
Pd6 0.5000 0.7777 0.9330
Pd7 0.5000 0.9330 0.2223
Pd8 0.5000 0.7223 0.4330
Pd9 0.5000 0.4330 0.2777
Pd10 0.5000 0.0000 0.5000
Be1 0.0000 0.1163 0.6163
Be2 0.0000 0.8837 0.3837
Be3 0.0000 0.6163 0.8837
Be4 0.0000 0.3837 0.1163
Mg1 0.0000 0.5000 0.5000
Mg2 0.0000 0.0000 0.0000
```